Entry 1:
VASP calculation (GGA-PBE) on a geometry-optimized SrScTe2AuSe structure.

Unit cell a=4.1647 b=14.5365 c=10.6185 alpha=90.00 beta=90.00 gamma=90.00
Space group Cmcm (No. 63)
One atom of each set of equivalent atoms:
Sr 0.0000 0.2481 0.2500 [4 per cell]
Sc 0.0000 0.5000 0.0000 [4 per cell]
Te 0.0000 0.1433 0.5429 [8 per cell]
Au 0.0000 0.0333 0.7500 [4 per cell]
Se 0.0000 0.4202 0.7500 [4 per cell]

E_tot   -4.65 eV per atom

=====

Entry 2:
VASP calculation (GGA-PBE) on a geometry-optimized MgTaNO structure.

Unit cell a=3.0335 b=3.0335 c=4.5048 alpha=90.00 beta=90.00 gamma=90.00
Space group P4/mmm (No. 123)
One atom of each set of equivalent atoms:
Mg 0.0000 0.0000 0.0000 [1 per cell]
Ta 0.5000 0.5000 0.5000 [1 per cell]
N 0.0000 0.0000 0.5000 [1 per cell]
O 0.5000 0.5000 0.0000 [1 per cell]

Relative energy among the computed polymorphs   0.0 meV/atom

=====

Entry 3:
VASP calculation (GGA-PBE) on a geometry-optimized Pu8AgPt5 structure.

Unit cell a=8.7732 b=8.7732 c=8.7401 alpha=90.00 beta=90.00 gamma=90.00
Space group I-4 (No. 82)
One atom of each set of equivalent atoms:
Pu 0.0727 0.1667 0.3054 [8 per cell]
Pu 0.0750 0.3174 0.9393 [8 per cell]
Ag 0.0000 0.5000 0.2500 [2 per cell]
Pt 0.0000 0.0000 0.0000 [2 per cell]
Pt 0.1302 0.2521 0.6202 [8 per cell]

E_tot   -11.09 eV per atom

=====

Entry 4:
VASP calculation (GGA-PBE) on a geometry-optimized RbSm structure.

Unit cell a=3.6204 b=3.6204 c=7.3335 alpha=90.00 beta=90.00 gamma=90.00
Space group P4/mmm (No. 123)
One atom of each set of equivalent atoms:
Rb 0.0000 0.0000 0.0000 [1 per cell]
Sm 0.5000 0.5000 0.5000 [1 per cell]

E_tot   -1.91 eV per atom

=====

Entry 5:
VASP calculation (GGA-PBE) on a geometry-optimized NaHoP2O7 structure.

Unit cell a=8.5911 b=5.3094 c=13.9102 alpha=90.00 beta=110.63 gamma=90.00
Space group P2_1/c (No. 14)
One atom of each set of equivalent atoms:
Na 0.0531 0.2217 0.3343 [4 per cell]
Ho 0.2465 0.2330 0.6477 [4 per cell]
P 0.1925 0.7109 0.4797 [4 per cell]
P 0.3150 0.7451 0.3146 [4 per cell]
O 0.0322 0.6961 0.8976 [4 per cell]
O 0.1891 0.0747 0.9955 [4 per cell]
O 0.2138 0.5046 0.2756 [4 per cell]
O 0.2155 0.5258 0.7578 [4 per cell]
O 0.2399 0.6462 0.0802 [4 per cell]
O 0.3396 0.7271 0.9350 [4 per cell]
O 0.4885 0.7306 0.3113 [4 per cell]

E_tot   -7.34 eV per atom

=====

Entry 6:
VASP calculation (GGA-PBE) on a geometry-optimized Gd3PSe2 structure.

Unit cell a=4.0866 b=4.0866 c=10.1005 alpha=90.00 beta=90.00 gamma=120.00
Space group P-3m1 (No. 164)
One atom of each set of equivalent atoms:
Gd 0.0000 0.0000 0.0000 [1 per cell]
Gd 0.3333 0.6667 0.3488 [2 per cell]
P 0.0000 0.0000 0.5000 [1 per cell]
Se 0.3333 0.6667 0.8315 [2 per cell]

E_tot   -6.19 eV per atom

=====

Entry 7:
VASP calculation (GGA-PBE) on a geometry-optimized DyCuTe3Pb structure.

Unit cell a=19.8751 b=4.3314 c=8.6617 alpha=90.00 beta=102.56 gamma=90.00
Space group C2/m (No. 12)
One atom of each set of equivalent atoms:
Dy 0.1589 0.0000 0.0820 [4 per cell]
Cu 0.0456 0.5000 0.2061 [4 per cell]
Te 0.0000 0.0000 0.0000 [2 per cell]
Te 0.0000 0.5000 0.5000 [2 per cell]
Te 0.1772 0.5000 0.3340 [4 per cell]
Te 0.1791 0.5000 0.8466 [4 per cell]
Pb 0.1222 0.0000 0.5676 [4 per cell]

Relative energy among the computed polymorphs   67.1 meV/atom

=====

Entry 8:
VASP calculation (GGA-PBE) on a geometry-optimized H12WC2S4N2 structure.

Unit cell a=9.4439 b=6.9871 c=15.8077 alpha=90.00 beta=90.00 gamma=90.00
Space group Pnma (No. 62)
One atom of each set of equivalent atoms:
H 0.0230 0.1221 0.2349 [8 per cell]
H 0.0404 0.2500 0.0931 [4 per cell]
H 0.0684 0.2500 0.7115 [4 per cell]
H 0.1092 0.1300 0.5694 [8 per cell]
H 0.1156 0.6304 0.8946 [8 per cell]
H 0.1398 0.7500 0.7516 [4 per cell]
H 0.2328 0.1215 0.7042 [8 per cell]
H 0.2371 0.7500 0.0631 [4 per cell]
W 0.2479 0.2500 0.9481 [4 per cell]
C 0.0368 0.7500 0.7832 [4 per cell]
C 0.1752 0.2500 0.6845 [4 per cell]
S 0.0214 0.2500 0.9133 [4 per cell]
S 0.1464 0.0049 0.3962 [8 per cell]
S 0.2271 0.7500 0.5871 [4 per cell]
N 0.0579 0.7500 0.8759 [4 per cell]
N 0.1634 0.2500 0.5908 [4 per cell]

E_tot   -5.33 eV per atom